Record 1
# Zr2ZnIr2

A relaxed structure of Zr2ZnIr2 (PBE-GGA, Alexandria).

- formation enthalpy at 0 K (meV/atom) = -401
- space-group type = P4/mbm
- VASP energy (eV per cell) = -76.20
- density of states at the Fermi level (states/eV per atom) = 0.789

a = 7.8494 Å, b = 7.8494 Å, c = 3.1115 Å
α = 90.00°, β = 90.00°, γ = 90.00°
Atoms (fractional coordinates):
Ir (0.3624, 0.1376, 0.5000)
Ir (0.6376, 0.8624, 0.5000)
Ir (0.1376, 0.6376, 0.5000)
Ir (0.8624, 0.3624, 0.5000)
Zr (0.1560, 0.3440, 0.0000)
Zr (0.8440, 0.6560, 0.0000)
Zr (0.3440, 0.8440, 0.0000)
Zr (0.6560, 0.1560, 0.0000)
Zn (0.5000, 0.5000, 0.0000)
Zn (0.0000, 0.0000, 0.0000)

=====

Record 2
# ZrZnIr2

A relaxed structure of ZrZnIr2 (PBE-GGA, Alexandria).

- formation enthalpy at 0 K (meV/atom) = -525
- space-group type = I-4m2
- VASP energy (eV per cell) = -29.64
- density of states at the Fermi level (states/eV per atom) = 0.511

a = 5.1033 Å, b = 5.1033 Å, c = 3.8515 Å
α = 67.83°, β = 67.83°, γ = 44.30°
Atoms (fractional coordinates):
Zn (0.5001, 0.5001, 0.4999)
Ir (0.0000, 0.0000, 0.0000)
Ir (0.2499, 0.2499, 0.2501)
Zr (0.7500, 0.7500, 0.7500)